Al2InAg2 | PBE | relaxed

Unit cell a=8.2932 b=8.2932 c=2.8258 alpha=90.00 beta=90.00 gamma=90.00
Atoms (fractional coordinates):
Al1 0.1259 0.3741 0.0000
Al2 0.3741 0.8741 0.0000
Al3 0.6259 0.1259 0.0000
Al4 0.8741 0.6259 0.0000
In1 0.0000 0.0000 0.5000
In2 0.5000 0.5000 0.5000
Ag1 0.1693 0.6693 0.5000
Ag2 0.3307 0.1693 0.5000
Ag3 0.6693 0.8307 0.5000
Ag4 0.8307 0.3307 0.5000

Formation energy   0.039 eV/atom
Polymorph energy (0 for the lowest one)   0 meV per atom

Al2In2Ag | PBE | relaxed

Unit cell a=6.9428 b=6.9428 c=4.5092 alpha=90.00 beta=90.00 gamma=90.00
Atoms (fractional coordinates):
Al1 0.1363 0.3637 0.0000
Al2 0.3637 0.8637 0.0000
Al3 0.6363 0.1363 0.0000
Al4 0.8637 0.6363 0.0000
In1 0.1738 0.6738 0.5000
In2 0.3262 0.1738 0.5000
In3 0.6738 0.8262 0.5000
In4 0.8262 0.3262 0.5000
Ag1 0.0000 0.0000 0.0000
Ag2 0.5000 0.5000 0.0000

Formation energy   0.120 eV/atom
Polymorph energy (0 for the lowest one)   0 meV per atom

AlIn2Ag8 | PBE | relaxed

Unit cell a=7.0259 b=7.0259 c=5.0746 alpha=102.64 beta=102.64 gamma=82.24
Atoms (fractional coordinates):
Al1 0.0000 0.0000 0.0000
In1 0.1569 0.1569 0.5430
In2 0.8431 0.8431 0.4570
Ag1 0.1647 0.6791 0.1939
Ag2 0.2732 0.2732 0.1123
Ag3 0.3209 0.8353 0.8061
Ag4 0.4315 0.4315 0.7073
Ag5 0.5685 0.5685 0.2927
Ag6 0.6791 0.1647 0.1939
Ag7 0.7268 0.7268 0.8877
Ag8 0.8353 0.3209 0.8061

Formation energy   0.142 eV/atom
Polymorph energy (0 for the lowest one)   154 meV per atom

Question: Which value of polymorph energy (0 for the lowest one) does entry 1 give?
Answer: 0 meV per atom